(1)
This record from the Alexandria database describes a geometry-optimized SrTlAs structure. The functional is PBE.

a b c (Å): 5.3859 5.9107 10.9238
angles (deg): 90.00 90.00 90.00
Closest atoms and distances in Å follow each position.
Fractional positions:
Sr 0.0000 0.0000 0.0000  3 Tl 3.27-3.47, 5 As 3.27-3.61
Sr 0.0000 0.5000 0.5000  3 Tl 3.27-3.47, 5 As 3.27-3.61
Sr 0.5000 0.0000 0.5000  3 Tl 3.27-3.47, 5 As 3.27-3.61
Sr 0.5000 0.5000 0.0000  3 Tl 3.27-3.47, 5 As 3.27-3.61
Tl 0.0000 0.0000 0.7009  4 As 3.04-3.28, 1 Sr 3.27
Tl 0.0000 0.5000 0.2009  4 As 3.04-3.28, 1 Sr 3.27
Tl 0.5000 0.0000 0.2009  4 As 3.04-3.28, 1 Sr 3.27
Tl 0.5000 0.5000 0.7009  4 As 3.04-3.28, 1 Sr 3.27
As 0.0000 0.0000 0.3302  4 Tl 3.04-3.28, 2 Sr 3.27
As 0.0000 0.5000 0.8302  4 Tl 3.04-3.28, 2 Sr 3.27
As 0.5000 0.0000 0.8302  4 Tl 3.04-3.28, 2 Sr 3.27
As 0.5000 0.5000 0.3302  4 Tl 3.04-3.28, 2 Sr 3.27

Properties
Calculated formation energy (meV/atom): -436
Calculated volume (Å³/cell): 348
DOS(E_F) (states/eV/f.u.): 1.1

---

(2)
This record from the Alexandria database describes a geometry-optimized SrTlAs2 structure. The functional is PBE.

a b c (Å): 4.0048 4.3864 6.7288
angles (deg): 90.00 90.00 90.00
Closest atoms and distances in Å follow each position.
Fractional positions:
Sr 0.0000 0.0000 0.0000  8 As 3.21, 2 Tl 3.36
Tl 0.0000 0.0000 0.5000  2 Sr 3.36, 8 As 3.66
As 0.5000 0.5000 0.1828  1 As 2.46
As 0.5000 0.5000 0.8172  1 As 2.46

Properties
Calculated formation energy (meV/atom): -466
Calculated volume (Å³/cell): 118
Distance to the lowest polymorph of the same formula (kcal/mol of atoms): 0.00
DOS(E_F) (states/eV/f.u.): 1.5

---

(3)
This record from the Alexandria database describes a geometry-optimized Sr2TlAs structure. The functional is PBE.

a b c (Å): 7.8688 4.5276 8.8344
angles (deg): 90.00 107.03 90.00
Closest atoms and distances in Å follow each position.
Fractional positions:
Sr 0.2296 0.0000 0.1905  3 As 3.07-3.08
Sr 0.2704 0.5000 0.8095  3 As 3.07-3.08
Sr 0.7296 0.5000 0.1905  3 As 3.07-3.08
Sr 0.7704 0.0000 0.8095  3 As 3.07-3.08
Tl 0.0000 0.0000 0.5000  6 Sr 3.69-3.70
Tl 0.5000 0.5000 0.5000  6 Sr 3.69-3.70
As 0.0000 0.5000 0.0000  6 Sr 3.07-3.08
As 0.5000 0.0000 0.0000  6 Sr 3.07-3.08

Properties
Calculated formation energy (meV/atom): -648
Calculated volume (Å³/cell): 301
Distance to the lowest polymorph of the same formula (kcal/mol of atoms): 1.41
DOS(E_F) (states/eV/f.u.): 3.4

---

(4)
This record from the Alexandria database describes a geometry-optimized SrTlAs2 structure. The functional is PBE.

a b c (Å): 4.7117 4.7117 9.3004
angles (deg): 90.00 90.00 90.00
Closest atoms and distances in Å follow each position.
Fractional positions:
Sr 0.0000 0.0000 0.0000  8 As 3.31, 4 Tl 3.33
Sr 0.5000 0.5000 0.5000  8 As 3.31, 4 Tl 3.33
Tl 0.0000 0.0000 0.5000  8 As 3.31, 4 Sr 3.33
Tl 0.5000 0.5000 0.0000  8 As 3.31, 4 Sr 3.33
As 0.0000 0.5000 0.2500  4 Tl 3.31, 4 Sr 3.31, 4 As 3.33
As 0.0000 0.5000 0.7500  4 Tl 3.31, 4 Sr 3.31, 4 As 3.33
As 0.5000 0.0000 0.2500  4 Tl 3.31, 4 Sr 3.31, 4 As 3.33
As 0.5000 0.0000 0.7500  4 Tl 3.31, 4 Sr 3.31, 4 As 3.33

Properties
Calculated formation energy (meV/atom): -341
Calculated volume (Å³/cell): 206
Distance to the lowest polymorph of the same formula (kcal/mol of atoms): 2.89
DOS(E_F) (states/eV/f.u.): 1.6